VASP calculation (PBE) on an optimized crystal structure of Lu2PaNi.

a = 3.2855 Å, b = 3.2855 Å, c = 8.2805 Å
α = 90.00°, β = 90.00°, γ = 90.00°
Last column: nearest neighbours and their distance in Å.
Space group P4/mmm (No. 123)
One atom of each set of equivalent atoms:
Lu1 0.0000 0.0000 0.1961 x2  4 Ni 2.83
Pa1 0.5000 0.5000 0.5000 x1  4 Pa 3.29, 8 Lu 3.42
Ni1 0.5000 0.5000 0.0000 x1  8 Lu 2.83

## Properties
**ΔE_f**: -12.4 kJ/mol of atoms
**Crystal system**: tetragonal
**Size of the total moment**: 0.39 μB/f.u.